Compound: Ac2HgPd2Pt5
Source: the Alexandria database
Functional: PBE
Structure: optimized geometry

The structure belongs to space group P4/mbm (No. 127); the cell edges are 9.7452, 9.7452 and 4.2723 Å and the angles 90.00°, 90.00° and 90.00°. Symmetry generates all atoms from Ac at (0.1772, 0.3228, 0.0000), Hg at (0.0000, 0.0000, 0.0000), Pd at (0.1219, 0.6219, 0.0000), Pt at (0.0000, 0.5000, 0.5000) and Pt at (0.0570, 0.7932, 0.5000).

The total energy is -5.596 eV/atom. The calculation puts the formation energy at -0.69 eV/atom. The calculation puts the volume at 202.87 Å³/f.u. As for the density of states at the Fermi level: 0.513 states/eV per atom.

Compound: AcPuHgPd
Source: the Alexandria database
Functional: PBE
Structure: optimized geometry

The structure belongs to space group F-43m (No. 216); the cell edges are 7.6095, 7.6095 and 7.6095 Å and the angles 90.00°, 90.00° and 90.00°. Symmetry generates all atoms from Ac at (0.0000, 0.0000, 0.0000), Pu at (0.0000, 0.0000, 0.5000), Hg at (0.2500, 0.2500, 0.2500) and Pd at (0.2500, 0.2500, 0.7500).

The total energy is -6.318 eV/atom. The calculation puts the formation energy at -0.33 eV/atom. The calculation puts the volume at 110.15 Å³/f.u. As for the density of states at the Fermi level: 3.229 states/eV per atom.

Compound: Ac3HgPdRh
Source: the Alexandria database
Functional: PBE
Structure: optimized geometry

The structure belongs to space group P2_1/m (No. 11); the cell edges are 9.6186, 4.3617 and 9.6850 Å and the angles 90.00°, 108.57° and 90.00°. Symmetry generates all atoms from Ac at (0.0033, 0.2500, 0.2750), Ac at (0.3114, 0.7500, 0.1197), Ac at (0.3541, 0.7500, 0.5615), Hg at (0.3005, 0.2500, 0.8209), Pd at (0.0750, 0.2500, 0.9652) and Rh at (0.3222, 0.2500, 0.3371).

The total energy is -4.846 eV/atom. The calculation puts the formation energy at -0.65 eV/atom. The calculation puts the volume at 192.58 Å³/f.u. As for the density of states at the Fermi level: 0.797 states/eV per atom.

Compound: Ac4Hg2PdRh
Source: the Alexandria database
Functional: PBE
Structure: optimized geometry

The structure belongs to space group P2/m (No. 10); the cell edges are 7.5252, 4.3296 and 8.6282 Å and the angles 90.00°, 106.79° and 90.00°. Symmetry generates all atoms from Ac at (0.2290, 0.0000, 0.2072), Ac at (0.2551, 0.5000, 0.7902), Hg at (0.0000, 0.0000, 0.5000), Hg at (0.5000, 0.5000, 0.5000), Pd at (0.5000, 0.0000, 0.0000) and Rh at (0.0000, 0.5000, 0.0000).

The total energy is -4.314 eV/atom. The calculation puts the formation energy at -0.62 eV/atom. The calculation puts the volume at 269.13 Å³/f.u. As for the density of states at the Fermi level: 0.455 states/eV per atom.

Compound: AcHgPdRh
Source: the Alexandria database
Functional: PBE
Structure: optimized geometry

The structure belongs to space group F-43m (No. 216); the cell edges are 7.0423, 7.0423 and 7.0423 Å and the angles 90.00°, 90.00° and 90.00°. Symmetry generates all atoms from Ac at (0.0000, 0.0000, 0.0000), Hg at (0.0000, 0.0000, 0.5000), Pd at (0.2500, 0.2500, 0.2500) and Rh at (0.2500, 0.2500, 0.7500).

The total energy is -4.666 eV/atom. The calculation puts the formation energy at -0.43 eV/atom. The calculation puts the volume at 87.31 Å³/f.u. As for the density of states at the Fermi level: 0.662 states/eV per atom.

Compound: AcHgSb2Pd5
Source: the Alexandria database
Functional: PBE
Structure: optimized geometry

The structure belongs to space group P4/mmm (No. 123); the cell edges are 4.9342, 4.9342 and 8.2929 Å and the angles 90.00°, 90.00° and 90.00°. Symmetry generates all atoms from Ac at (0.0000, 0.0000, 0.0000), Hg at (0.0000, 0.0000, 0.5000), Sb at (0.5000, 0.5000, 0.3258), Pd at (0.0000, 0.5000, 0.2201) and Pd at (0.5000, 0.5000, 0.0000).

The total energy is -4.716 eV/atom. The calculation puts the volume at 201.90 Å³/f.u. As for the density of states at the Fermi level: 0.235 states/eV per atom. The uncorrected formation energy comes out at -425 meV per atom.

Compound: Ac2HgSb3Pd4
Source: the Alexandria database
Functional: PBE
Structure: optimized geometry

The structure belongs to space group P-4m2 (No. 115); the cell edges are 4.7128, 4.7128 and 10.8009 Å and the angles 90.00°, 90.00° and 90.00°. Symmetry generates all atoms from Ac at (0.0000, 0.5000, 0.2395), Hg at (0.0000, 0.0000, 0.5000), Sb at (0.0000, 0.5000, 0.8735), Sb at (0.5000, 0.5000, 0.5000), Pd at (0.0000, 0.0000, 0.0000), Pd at (0.0000, 0.5000, 0.6314) and Pd at (0.5000, 0.5000, 0.0000).

The total energy is -4.989 eV/atom. The calculation puts the volume at 239.89 Å³/f.u. As for the density of states at the Fermi level: 0.579 states/eV per atom. The uncorrected formation energy comes out at -824 meV per atom.

Compound: AcHg2SbPd2
Source: the Alexandria database
Functional: PBE
Structure: optimized geometry

The structure belongs to space group I4/mmm (No. 139); the cell edges are 5.3310, 5.3310 and 11.4500 Å and the angles 90.00°, 90.00° and 90.00°. Symmetry generates all atoms from Ac at (0.0000, 0.0000, 0.0000), Hg at (0.0000, 0.5000, 0.2500), Sb at (0.0000, 0.0000, 0.5000) and Pd at (0.0000, 0.0000, 0.2689).

The total energy is -3.542 eV/atom. The calculation puts the volume at 162.70 Å³/f.u. As for the density of states at the Fermi level: 0.579 states/eV per atom. The uncorrected formation energy comes out at -338 meV per atom.

Compound: Ac2HgSbPd6
Source: the Alexandria database
Functional: PBE
Structure: optimized geometry

The structure belongs to space group P-1 (No. 2); the cell edges are 6.0255, 6.5336 and 7.1128 Å and the angles 107.54°, 102.35° and 113.24°. Symmetry generates all atoms from Ac at (0.0139, 0.1619, 0.2955), Hg at (0.5000, 0.5000, 0.0000), Sb at (0.5000, 0.0000, 0.5000), Pd at (0.0063, 0.6384, 0.2543), Pd at (0.3374, 0.8409, 0.0642) and Pd at (0.4112, 0.6572, 0.6649).

The total energy is -4.968 eV/atom. The calculation puts the volume at 226.96 Å³/f.u. As for the density of states at the Fermi level: 0.413 states/eV per atom. The uncorrected formation energy comes out at -588 meV per atom.

Compound: Ac2HgSb3Pd6
Source: the Alexandria database
Functional: PBE
Structure: optimized geometry

The structure belongs to space group P4/mmm (No. 123); the cell edges are 4.4038, 4.4038 and 16.3843 Å and the angles 90.00°, 90.00° and 90.00°. Symmetry generates all atoms from Ac at (0.0000, 0.0000, 0.2086), Hg at (0.0000, 0.0000, 0.5000), Sb at (0.5000, 0.5000, 0.0000), Sb at (0.5000, 0.5000, 0.3101), Pd at (0.0000, 0.5000, 0.3944) and Pd at (0.5000, 0.5000, 0.1525).

The total energy is -4.809 eV/atom. The calculation puts the volume at 317.74 Å³/f.u. As for the density of states at the Fermi level: 0.531 states/eV per atom. The uncorrected formation energy comes out at -472 meV per atom.

Compound: Ac3Hg2SbPd8
Source: the Alexandria database
Functional: PBE
Structure: optimized geometry

The structure belongs to space group P-3m1 (No. 164); the cell edges are 5.7120, 5.7120 and 10.9529 Å and the angles 90.00°, 90.00° and 120.00°. Symmetry generates all atoms from Ac at (0.0000, 0.0000, 0.0000), Ac at (0.3333, 0.6667, 0.5879), Hg at (0.3333, 0.6667, 0.0910), Sb at (0.0000, 0.0000, 0.5000), Pd at (0.1675, 0.3350, 0.2939) and Pd at (0.3333, 0.6667, 0.8461).

The total energy is -4.772 eV/atom. The calculation puts the volume at 309.49 Å³/f.u. As for the density of states at the Fermi level: 0.482 states/eV per atom. The uncorrected formation energy comes out at -587 meV per atom.

Compound: AcHgSbPd3
Source: the Alexandria database
Functional: PBE
Structure: optimized geometry

The structure belongs to space group Cmcm (No. 63); the cell edges are 6.8119, 12.6205 and 6.6152 Å and the angles 90.00°, 90.00° and 90.00°. Symmetry generates all atoms from Ac at (0.0000, 0.1883, 0.2500), Hg at (0.0000, 0.4422, 0.2500), Sb at (0.0000, 0.1292, 0.7500), Pd at (0.0000, 0.3351, 0.7500) and Pd at (0.2060, 0.0000, 0.0000).

The total energy is -4.517 eV/atom. The calculation puts the volume at 142.18 Å³/f.u. As for the density of states at the Fermi level: 0.440 states/eV per atom. The uncorrected formation energy comes out at -499 meV per atom.